(1)
# CoTc2Ru PBE optimized geometry
# Formation energy (eV per formula unit): 1.39
data_CoTc2Ru
_cell_length_a 2.839
_cell_length_b 4.457
_cell_length_c 8.825
_cell_angle_alpha 90.00
_cell_angle_beta 90.00
_cell_angle_gamma 90.00
_space_group_name_H-M_alt 'C m m 2'
_space_group_IT_number 35
_space_group_name_Hall 'C 2 -2'
loop_
_atom_site_label
_atom_site_fract_x
_atom_site_fract_y
_atom_site_fract_z
Co1 0.000 0.000 0.000
Tc1 0.000 0.000 0.500
Tc2 0.000 0.500 0.757
Ru1 0.000 0.500 0.243

---

(2)
# CuIr PBE optimized geometry
# Formation energy (eV per formula unit): 0.28
data_CuIr
_cell_length_a 2.6923
_cell_length_b 2.6923
_cell_length_c 4.3192
_cell_angle_alpha 90.00
_cell_angle_beta 90.00
_cell_angle_gamma 120.00
_space_group_name_H-M_alt 'P -6 m 2'
_space_group_IT_number 187
_space_group_name_Hall 'P -6 2'
loop_
_atom_site_label
_atom_site_fract_x
_atom_site_fract_y
_atom_site_fract_z
Cu1 0.0000 0.0000 0.0000
Ir1 0.6667 0.3333 0.5000

---

(3)
# BaSr2TlZn PBE optimized geometry
# Formation energy (eV per formula unit): 0.73
data_BaSr2TlZn
_cell_length_a 6.439
_cell_length_b 6.439
_cell_length_c 6.675
_cell_angle_alpha 90.00
_cell_angle_beta 90.00
_cell_angle_gamma 90.00
_space_group_name_H-M_alt 'P 4/m m m'
_space_group_IT_number 123
_space_group_name_Hall '-P 4 2'
loop_
_atom_site_label
_atom_site_fract_x
_atom_site_fract_y
_atom_site_fract_z
Ba1 0.000 0.000 0.000
Sr1 0.000 0.500 0.500
Tl1 0.000 0.000 0.500
Zn1 0.500 0.500 0.000

---

(4)
# Ho2ErZn3 PBE optimized geometry
# Formation energy (eV per formula unit): -2.07
data_Ho2ErZn3
_cell_length_a 3.552
_cell_length_b 3.552
_cell_length_c 10.635
_cell_angle_alpha 90.00
_cell_angle_beta 90.00
_cell_angle_gamma 90.00
_space_group_name_H-M_alt 'P 4/m m m'
_space_group_IT_number 123
_space_group_name_Hall '-P 4 2'
loop_
_atom_site_label
_atom_site_fract_x
_atom_site_fract_y
_atom_site_fract_z
Ho1 0.000 0.000 0.167
Er1 0.000 0.000 0.500
Zn1 0.500 0.500 0.000
Zn2 0.500 0.500 0.335

---

(5)
# Pr2Tm3Pb4 PBE optimized geometry
# Formation energy (eV per formula unit): -5.16
data_Pr2Tm3Pb4
_cell_length_a 8.429
_cell_length_b 8.401
_cell_length_c 8.190
_cell_angle_alpha 90.00
_cell_angle_beta 111.40
_cell_angle_gamma 90.00
_space_group_name_H-M_alt 'P 1 21/c 1'
_space_group_IT_number 14
_space_group_name_Hall '-P 2ybc'
loop_
_atom_site_label
_atom_site_fract_x
_atom_site_fract_y
_atom_site_fract_z
Pr1 0.193 0.179 0.057
Tm1 0.246 0.658 0.240
Tm2 0.500 0.000 0.500
Pb1 0.087 0.544 0.835
Pb2 0.494 0.141 0.859

---

(6)
# YOsO6 PBE optimized geometry
# Formation energy (no corrections) (eV/atom): -1.3780
data_YOsO6
_cell_length_a 5.711
_cell_length_b 6.756
_cell_length_c 4.866
_cell_angle_alpha 90.00
_cell_angle_beta 99.36
_cell_angle_gamma 90.00
_space_group_name_H-M_alt 'C 1 2/m 1'
_space_group_IT_number 12
_space_group_name_Hall '-C 2y'
loop_
_atom_site_label
_atom_site_fract_x
_atom_site_fract_y
_atom_site_fract_z
Y1 0.000 0.000 0.000
Os1 0.000 0.500 0.500
O1 0.126 0.312 0.769
O2 0.217 0.000 0.640

---

Number 1: E_tot -8.930 eV per atom. Number 2: E_tot -6.341 eV per atom. Number 3: E_tot -1.640 eV per atom. Number 4: E_tot -3.268 eV per atom. Number 5: E_tot -4.774 eV per atom. Number 6: E_tot -7.308 eV per atom.